The following is a DFT calculation (GGA-PBE) of an optimized crystal structure of Na2Er2B2O7.

Properties
total energy: -7.402 eV per atom
symmetry: P2_1/c (14)

```
52
Lattice="10.505 0.000 0.000 0.000 6.158 0.000 -4.721 0.000 8.949" Properties=species:S:1:pos:R:3 pbc="T T T"
B 6.800 4.624 0.729
B 1.478 5.211 1.324
B 6.666 2.132 3.150
B 1.344 1.545 3.745
B 4.440 4.613 5.203
B -0.882 4.026 5.799
B 4.306 0.947 7.624
B -1.016 1.534 8.220
Er 1.511 2.575 0.776
Er 9.474 0.237 1.635
Er -1.329 3.316 2.839
Er 6.634 5.654 3.698
Er -0.849 0.504 5.251
Er 7.114 2.842 6.110
Er -3.690 5.921 7.313
Er 4.273 3.582 8.172
Na 6.198 1.481 0.442
Na 3.871 0.357 2.107
Na 4.274 3.436 2.368
Na 1.947 4.560 4.032
Na 3.837 1.598 4.916
Na 1.511 2.722 6.581
Na 1.913 5.801 6.842
Na -0.413 4.677 8.507
O 3.923 2.098 0.500
O 1.152 0.276 0.767
O 9.767 2.303 0.853
O 8.130 4.530 1.201
O 2.699 4.634 1.203
O 5.847 5.264 1.476
O 0.480 4.556 2.055
O 7.664 1.477 2.419
O 2.297 2.185 2.999
O 5.446 1.555 3.271
O 0.015 1.451 3.273
O -1.622 5.382 3.621
O 6.993 3.355 3.708
O 4.222 5.177 3.974
O 1.563 0.981 4.974
O -1.208 2.802 5.241
O 7.406 0.776 5.327
O 5.770 4.707 5.675
O 0.338 4.603 5.677
O 3.487 3.973 5.950
O -1.880 4.681 6.530
O 5.304 1.602 6.893
O -0.063 0.894 7.473
O 3.086 1.524 7.746
O -2.346 1.628 7.748
O -3.983 3.855 8.096
O 4.632 5.881 8.182
O 1.861 4.060 8.449
```

The following is a DFT calculation (GGA-PBE) of an optimized crystal structure of AlZn.

Properties
total energy: -2.443 eV per atom
symmetry: P2_1/m (11)

```
12
Lattice="7.274 -1.379 0.000 0.013 5.580 0.000 0.000 0.000 4.691" Properties=species:S:1:pos:R:3 pbc="T T T"
Al 2.446 1.401 0.000
Al 7.267 1.412 0.000
Al 2.463 4.194 0.000
Al 6.442 0.012 2.346
Al 1.638 2.794 2.346
Al 6.459 2.805 2.346
Zn 0.004 0.000 0.000
Zn 4.843 0.011 0.000
Zn 4.854 2.803 0.000
Zn 1.613 0.003 2.346
Zn 4.050 1.402 2.346
Zn 4.061 4.195 2.346
```

The following is a DFT calculation (GGA-PBE) of an optimized crystal structure of La2Nd2Si3Ge.

Properties
total energy: -5.806 eV per atom
symmetry: Cm (8)

```
8
Lattice="6.640 -2.276 0.000 6.640 2.276 0.000 -0.027 0.000 6.632" Properties=species:S:1:pos:R:3 pbc="T T T"
Ge 11.954 0.000 3.708
La 5.958 0.000 1.653
La 7.313 0.000 4.966
Nd 9.606 0.000 1.640
Nd 3.626 0.000 4.999
Si 1.260 0.000 0.407
Si 1.306 0.000 2.890
Si 11.989 0.000 6.262
```